A plane-wave DFT calculation with GGA-PBE was carried out for a relaxed Ce2Ge4IrPt3 crystal.

The value obtained for the density of states at the Fermi level is 11.732 states/eV per cell. The formation energy is -866 meV/atom.

The space group is P-4m2 (No. 115) and the conventional cell measures 4.223, 4.223 and 10.570 Å, with angles of 90.00, 90.00 and 90.00 degrees. The asymmetric unit holds Ce at (0.000, 0.500, 0.247), Ge at (0.000, 0.000, 0.500), Ge at (0.000, 0.500, 0.865), Ge at (0.500, 0.500, 0.500), Ir at (0.500, 0.500, 0.000), Pt at (0.000, 0.000, 0.000) and Pt at (0.000, 0.500, 0.633).

=====

A plane-wave DFT calculation with GGA-PBE was carried out for a relaxed TaGa2IrBr crystal.

The value obtained for the density of states at the Fermi level is 5.517 states/eV per cell. As for the uncorrected formation energy: 1.324 eV per atom.

The space group is P4/mmm (No. 123) and the conventional cell measures 5.139, 5.139 and 4.812 Å, with angles of 90.00, 90.00 and 90.00 degrees. The asymmetric unit holds Ta at (0.000, 0.000, 0.000), Ga at (0.000, 0.500, 0.000), Ir at (0.500, 0.500, 0.500) and Br at (0.000, 0.000, 0.500).

=====

A plane-wave DFT calculation with GGA-PBE was carried out for a relaxed Ba6Hg2RhAu crystal.

The value obtained for the density of states at the Fermi level is 12.666 states/eV per cell. The formation energy is -420 meV/atom.

The space group is P2_1/c (No. 14) and the conventional cell measures 8.085, 8.940 and 14.367 Å, with angles of 90.00, 123.29 and 90.00 degrees. The asymmetric unit holds Ba at (0.109, 0.032, 0.241), Ba at (0.228, 0.696, 0.063), Ba at (0.375, 0.175, 0.061), Hg at (0.300, 0.107, 0.752), Rh at (0.000, 0.000, 0.000) and Au at (0.500, 0.000, 0.500).

=====

A plane-wave DFT calculation with GGA-PBE was carried out for a relaxed Sc2BeRe crystal.

The value obtained for the density of states at the Fermi level is 11.283 states/eV per cell. The formation energy is 298 meV/atom.

The space group is R-3m (No. 166, hexagonal axes) and the conventional cell measures 3.1188, 3.1188 and 24.9904 Å, with angles of 90.00, 90.00 and 120.00 degrees. The asymmetric unit holds Sc at (0.0000, 0.0000, 0.2494), Be at (0.0000, 0.0000, 0.5000) and Re at (0.0000, 0.0000, 0.0000).

=====

A plane-wave DFT calculation with GGA-PBE was carried out for a relaxed TbPm8Tm2 crystal.

The value obtained for the density of states at the Fermi level is 35.781 states/eV per cell. The formation energy is 173 meV/atom.

The space group is C2/m (No. 12) and the conventional cell measures 16.793, 6.754 and 6.681 Å, with angles of 90.00, 100.07 and 90.00 degrees. The asymmetric unit holds Tb at (0.000, 0.000, 0.000), Pm at (0.088, 0.262, 0.406), Pm at (0.094, 0.500, 0.913), Pm at (0.244, 0.000, 0.319) and Tm at (0.198, 0.000, 0.806).

=====

A plane-wave DFT calculation with GGA-PBE was carried out for a relaxed Ca4Pa2O9 crystal.

The value obtained for the density of states at the Fermi level is 0.000 states/eV per cell. As for the uncorrected formation energy: -3.317 eV per atom.

The space group is P-3c1 (No. 165) and the conventional cell measures 5.8926, 5.8926 and 15.4646 Å, with angles of 90.00, 90.00 and 120.00 degrees. The asymmetric unit holds Ca at (0.3333, 0.6667, 0.1923), Ca at (0.3333, 0.6667, 0.4801), Pa at (0.0000, 0.0000, 0.1418), O at (0.0000, 0.2698, 0.2500) and O at (0.0375, 0.3483, 0.5866).

=====

no.,electronic total energy (eV per atom),theoretical density (g cm⁻³)
1,-6.60,11.87
2,-4.36,7.74
3,-2.70,5.84
4,-6.91,6.75
5,-4.52,7.37
6,-8.09,5.47